Record 1
# RbBaB3

An optimized crystal structure of RbBaB3 (PBE-GGA, Alexandria).

It has space group Pm-3m (No. 221), with a = 5.3835 Å, b = 5.3835 Å, c = 5.3835 Å, α = 90.00°, β = 90.00° and γ = 90.00°. The inequivalent atoms are Rb at (0.0000, 0.0000, 0.0000), Ba at (0.5000, 0.5000, 0.5000) and B at (0.0000, 0.5000, 0.5000).

For the total magnetization, the calculation gives 0.00 μB/cell. The crystal system is cubic. For the formation energy from the elements, the calculation gives 2346 meV per atom.



Record 2
# Rb2BaB

An optimized crystal structure of Rb2BaB (PBE-GGA, Alexandria).

It has space group I-42d (No. 122), with a = 12.9190 Å, b = 12.9190 Å, c = 5.5248 Å, α = 90.00°, β = 90.00° and γ = 90.00°. The inequivalent atoms are Rb at (0.0963, 0.2500, 0.1250), Ba at (0.0000, 0.0000, 0.5000) and B at (0.0000, 0.0000, 0.0000).

For the total magnetization, the calculation gives 0.00 μB/cell. The crystal system is tetragonal. For the formation energy from the elements, the calculation gives 833 meV per atom.



Record 3
# RbBaB12

An optimized crystal structure of RbBaB12 (PBE-GGA, Alexandria).

It has space group Fm-3m (No. 225), with a = 8.5495 Å, b = 8.5495 Å, c = 8.5495 Å, α = 90.00°, β = 90.00° and γ = 90.00°. The inequivalent atoms are Rb at (0.0000, 0.0000, 0.0000), Ba at (0.0000, 0.0000, 0.5000) and B at (0.1012, 0.2500, 0.2500).

For the total magnetization, the calculation gives 0.00 μB/cell. The crystal system is cubic. For the formation energy from the elements, the calculation gives -191 meV per atom.



Copy entry 2 word for word.
# Rb2BaB

An optimized crystal structure of Rb2BaB (PBE-GGA, Alexandria).

It has space group I-42d (No. 122), with a = 12.9190 Å, b = 12.9190 Å, c = 5.5248 Å, α = 90.00°, β = 90.00° and γ = 90.00°. The inequivalent atoms are Rb at (0.0963, 0.2500, 0.1250), Ba at (0.0000, 0.0000, 0.5000) and B at (0.0000, 0.0000, 0.0000).

For the total magnetization, the calculation gives 0.00 μB/cell. The crystal system is tetragonal. For the formation energy from the elements, the calculation gives 833 meV per atom.